Compound: Ni2MoPt
Source: the Alexandria database
Functional: meta-GGA SCAN
Structure: PBEsol geometry

Output
- calculated volume (Å³/atom) = 12.75
- M_tot (Bohr magnetons per cell) = 0.00
- Fermi-level density of states (states/eV/f.u.) = 2.72
- total energy (Ry/atom) = -2.5354

Geometry as extended XYZ:
```
4
Lattice="-1.651 0.311 2.068 1.722 -2.769 1.791 3.258 3.384 2.098" Properties=species:S:1:pos:R:3 pbc="T T T"
Ni -1.630 0.331 2.080
Ni 0.790 -0.446 2.415
Mo 2.535 1.366 3.538
Pt 1.614 1.677 1.040
```